# 1
DFT (GGA-PBE) results for a geometry-optimized MgZr2 structure.

Raw total energy ... -73.830 eV/cell
V ... 22.523 Å³/atom
SG ... Cmcm

a b c (Å): 16.3394 3.1473 5.2558
angles (deg): 90.00 90.00 90.00
Atoms (fractional coordinates):
Mg: 0.3298 0.0000 0.0000
Mg: 0.8299 0.5000 0.0000
Mg: 0.1145 0.0000 0.5000
Mg: 0.6146 0.5000 0.5000
Zr: 0.6604 0.0000 0.0000
Zr: 0.9964 0.0000 0.0000
Zr: 0.1602 0.5000 0.0000
Zr: 0.4964 0.5000 0.0000
Zr: 0.4480 0.0000 0.5000
Zr: 0.7842 0.0000 0.5000
Zr: 0.2841 0.5000 0.5000
Zr: 0.9480 0.5000 0.5000


# 2
DFT (GGA-PBE) results for a geometry-optimized MgZr structure.

Raw total energy ... -80.135 eV/cell
V ... 22.396 Å³/atom
SG ... Pmmn

a b c (Å): 10.9329 6.3614 5.1523
angles (deg): 90.00 90.00 90.00
Atoms (fractional coordinates):
Mg: 0.0022 0.0000 0.0000
Mg: 0.4939 0.0000 0.0000
Mg: 0.2486 0.2499 0.0000
Mg: 0.2486 0.7501 0.0000
Mg: 0.4181 0.2501 0.5000
Mg: 0.1727 0.5000 0.5000
Mg: 0.6645 0.5000 0.5000
Mg: 0.4181 0.7499 0.5000
Zr: 0.7488 0.2535 0.0000
Zr: 0.0020 0.5000 0.0000
Zr: 0.5051 0.5000 0.0000
Zr: 0.7488 0.7465 0.0000
Zr: 0.1616 0.0000 0.5000
Zr: 0.6647 0.0000 0.5000
Zr: 0.9179 0.2465 0.5000
Zr: 0.9179 0.7535 0.5000


# 3
DFT (GGA-PBE) results for a geometry-optimized MgZr2 structure.

Raw total energy ... -36.532 eV/cell
V ... 22.680 Å³/atom
SG ... P-62m

a b c (Å): 5.4684 5.4684 5.2544
angles (deg): 90.00 90.00 60.00
Atoms (fractional coordinates):
Mg: 0.0000 0.0000 0.0000
Mg: 0.3333 0.3333 0.0000
Zr: 0.6667 0.6667 0.0000
Zr: 0.6667 0.0151 0.5000
Zr: 0.0151 0.3182 0.5000
Zr: 0.3182 0.6667 0.5000


# 4
DFT (GGA-PBE) results for a geometry-optimized MgZr structure.

Raw total energy ... -39.537 eV/cell
V ... 22.012 Å³/atom
SG ... Pnma

a b c (Å): 5.5901 6.1701 5.1056
angles (deg): 90.00 90.00 90.00
Atoms (fractional coordinates):
Mg: 0.0041 0.0063 0.0000
Mg: 0.5041 0.2437 0.0000
Mg: 0.3292 0.5063 0.5000
Mg: 0.8292 0.7437 0.5000
Zr: 0.0352 0.5117 0.0000
Zr: 0.5352 0.7383 0.0000
Zr: 0.2982 0.0117 0.5000
Zr: 0.7982 0.2383 0.5000


# 5
DFT (GGA-PBE) results for a geometry-optimized Mg2Zr structure.

Raw total energy ... -45.018 eV/cell
V ... 22.512 Å³/atom
SG ... Pmmn

a b c (Å): 5.6413 9.4770 5.0530
angles (deg): 90.00 90.00 90.00
Atoms (fractional coordinates):
Mg: 0.5044 0.1643 0.0000
Mg: 0.9947 0.3333 0.0000
Mg: 0.5044 0.5024 0.0000
Mg: 0.5013 0.8333 0.0000
Mg: 0.3290 0.0024 0.5000
Mg: 0.3320 0.3333 0.5000
Mg: 0.3290 0.6643 0.5000
Mg: 0.8386 0.8333 0.5000
Zr: 0.9890 0.6752 0.0000
Zr: 0.9890 0.9915 0.0000
Zr: 0.8443 0.1752 0.5000
Zr: 0.8443 0.4915 0.5000


# 6
DFT (GGA-PBE) results for a geometry-optimized MgZr structure.

Raw total energy ... -119.153 eV/cell
V ... 22.480 Å³/atom
SG ... Pbcm

a b c (Å): 16.7580 6.3381 5.0796
angles (deg): 90.00 90.00 89.99
Atoms (fractional coordinates):
Mg: 0.8302 0.2471 0.0000
Mg: 0.1641 0.2475 0.0000
Mg: 0.6641 0.5025 0.0000
Mg: 0.3303 0.5030 0.0000
Mg: 0.8330 0.7509 0.0000
Mg: 0.3331 0.9990 0.0000
Mg: 0.6142 0.2470 0.5000
Mg: 0.2804 0.2475 0.5000
Mg: 0.7803 0.5025 0.5000
Mg: 0.1142 0.5029 0.5000
Mg: 0.6114 0.7510 0.5000
Mg: 0.1114 0.9991 0.5000
Zr: 0.9928 0.0038 0.0000
Zr: 0.4999 0.2559 0.0000
Zr: 0.0000 0.4941 0.0000
Zr: 0.4928 0.7461 0.0000
Zr: 0.1643 0.7513 0.0000
Zr: 0.6643 0.9987 0.0000
Zr: 0.4516 0.0039 0.5000
Zr: 0.9445 0.2559 0.5000
Zr: 0.4445 0.4941 0.5000
Zr: 0.9516 0.7462 0.5000
Zr: 0.2802 0.7513 0.5000
Zr: 0.7801 0.9987 0.5000


# 7
DFT (GGA-PBE) results for a geometry-optimized MgZr structure.

Raw total energy ... -39.737 eV/cell
V ... 22.660 Å³/atom
SG ... Pbcm

a b c (Å): 5.5160 6.4818 5.0703
angles (deg): 90.00 90.00 90.00
Atoms (fractional coordinates):
Mg: 0.0026 0.4997 0.0000
Mg: 0.5026 0.7503 0.0000
Mg: 0.3307 0.4997 0.5000
Mg: 0.8307 0.7503 0.5000
Zr: 0.0033 0.0071 0.0000
Zr: 0.5033 0.2429 0.0000
Zr: 0.3301 0.0071 0.5000
Zr: 0.8301 0.2429 0.5000


# 8
DFT (GGA-PBE) results for a geometry-optimized MgZr structure.

Raw total energy ... -59.425 eV/cell
V ... 22.433 Å³/atom
SG ... Pmc2_1

a b c (Å): 5.4659 9.6421 5.1079
angles (deg): 90.00 90.00 90.00
Atoms (fractional coordinates):
Mg: 0.9971 0.3427 0.0000
Mg: 0.4907 0.4961 0.0000
Mg: 0.9907 0.6705 0.0000
Mg: 0.4971 0.8240 0.0000
Mg: 0.3382 0.3346 0.5000
Mg: 0.8382 0.8320 0.5000
Zr: 0.0105 0.0040 0.0000
Zr: 0.5105 0.1627 0.0000
Zr: 0.8536 0.1697 0.5000
Zr: 0.8099 0.5134 0.5000
Zr: 0.3099 0.6532 0.5000
Zr: 0.3536 0.9970 0.5000


# 9
DFT (GGA-PBE) results for a geometry-optimized MgZr2 structure.

Raw total energy ... -73.626 eV/cell
V ... 22.762 Å³/atom
SG ... Pmmn

a b c (Å): 5.6635 9.4285 5.1153
angles (deg): 90.00 90.00 90.00
Atoms (fractional coordinates):
Mg: 0.9899 0.6692 0.0000
Mg: 0.9899 0.9975 0.0000
Mg: 0.8435 0.1692 0.5000
Mg: 0.8435 0.4975 0.5000
Zr: 0.5054 0.1630 0.0000
Zr: 0.0324 0.3333 0.0000
Zr: 0.5054 0.5036 0.0000
Zr: 0.4687 0.8333 0.0000
Zr: 0.3279 0.0036 0.5000
Zr: 0.3646 0.3333 0.5000
Zr: 0.3279 0.6630 0.5000
Zr: 0.8009 0.8333 0.5000


# 10
DFT (GGA-PBE) results for a geometry-optimized MgZr2 structure.

Raw total energy ... -17.707 eV/cell
V ... 81.908 Å³/atom
SG ... Fd-3m

a b c (Å): 8.8579 8.8579 8.8579
angles (deg): 60.00 60.00 60.00
Atoms (fractional coordinates):
Mg: 0.2500 0.2500 0.2500
Mg: 0.5000 0.5000 0.5000
Zr: 0.8750 0.3750 0.3750
Zr: 0.3750 0.8750 0.3750
Zr: 0.3750 0.3750 0.3750
Zr: 0.3750 0.3750 0.8750


# 11
DFT (GGA-PBE) results for a geometry-optimized Mg2Zr structure.

Raw total energy ... -44.972 eV/cell
V ... 22.161 Å³/atom
SG ... Cmcm

a b c (Å): 16.4477 3.1306 5.1648
angles (deg): 90.00 90.00 90.00
Atoms (fractional coordinates):
Mg: 0.6620 0.0000 0.0000
Mg: 0.9975 0.0000 0.0000
Mg: 0.1620 0.5000 0.0000
Mg: 0.4975 0.5000 0.0000
Mg: 0.4469 0.0000 0.5000
Mg: 0.7825 0.0000 0.5000
Mg: 0.2824 0.5000 0.5000
Mg: 0.9469 0.5000 0.5000
Zr: 0.3243 0.0000 0.0000
Zr: 0.8243 0.5000 0.0000
Zr: 0.1201 0.0000 0.5000
Zr: 0.6201 0.5000 0.5000


# 12
DFT (GGA-PBE) results for a geometry-optimized MgZr structure.

Raw total energy ... -79.804 eV/cell
V ... 22.143 Å³/atom
SG ... Pmmn

a b c (Å): 4.8966 14.8011 4.8885
angles (deg): 90.00 90.00 90.00
Atoms (fractional coordinates):
Mg: 0.9176 0.0000 0.0000
Mg: 0.9176 0.5000 0.0000
Mg: 0.4197 0.6167 0.0000
Mg: 0.4197 0.8833 0.0000
Mg: 0.4158 0.0000 0.5000
Mg: 0.9136 0.1167 0.5000
Mg: 0.9136 0.3833 0.5000
Mg: 0.4158 0.5000 0.5000
Zr: 0.4148 0.1345 0.0000
Zr: 0.9145 0.2500 0.0000
Zr: 0.4148 0.3655 0.0000
Zr: 0.9205 0.7500 0.0000
Zr: 0.4128 0.2500 0.5000
Zr: 0.9186 0.6345 0.5000
Zr: 0.4188 0.7500 0.5000
Zr: 0.9186 0.8655 0.5000